## BeAl2In (GGA-PBE)

Data for a relaxed structure of BeAl2In.

```
data_BeAl2In
_cell_length_a 2.9761
_cell_length_b 2.9761
_cell_length_c 7.6501
_cell_angle_alpha 90.00
_cell_angle_beta 90.00
_cell_angle_gamma 90.00
_space_group_name_H-M_alt 'P 4 m m'
_space_group_IT_number 99
loop_
_space_group_symop_operation_xyz
'x,y,z'
'-y,x,z'
'-x,-y,z'
'y,-x,z'
'-x,y,z'
'y,x,z'
'x,-y,z'
'-y,-x,z'
loop_
_atom_site_label
_atom_site_fract_x
_atom_site_fract_y
_atom_site_fract_z
Be1 0.0000 0.0000 0.0000
Al1 0.0000 0.0000 0.5657
Al2 0.5000 0.5000 0.8149
In1 0.5000 0.5000 0.2467
```

Results
Its total magnetic moment is 0.00 μB/f.u.

## BeAl3In (GGA-PBE)

Data for a relaxed structure of BeAl3In.

```
data_BeAl3In
_cell_length_a 5.1920
_cell_length_b 5.1920
_cell_length_c 5.1920
_cell_angle_alpha 90.00
_cell_angle_beta 90.00
_cell_angle_gamma 90.00
_space_group_name_H-M_alt 'P m -3 m'
_space_group_IT_number 221
_space_group_name_Hall '-P 4 2 3'
loop_
_atom_site_label
_atom_site_fract_x
_atom_site_fract_y
_atom_site_fract_z
Be1 0.0000 0.0000 0.0000
Al1 0.0000 0.5000 0.5000
In1 0.5000 0.5000 0.5000
```

Results
Its total magnetic moment is 0.00 μB/f.u.

| no. | offset from the most stable computed form (eV per atom) | calculated total energy (eV/cell) |
| --- | --- | --- |
| 1 | 0.030 | -12.8 |
| 2 | 0.948 | -11.2 |